1.
PBE DyCoB, optimized geometry; distance to the lowest polymorph of the same formula = 3.41 kcal/mol of atoms; symmetry = P-6m2
1.0
-1.308 -3.671 0.682
2.970 -0.717 1.838
-2.855 1.328 1.672
B Co Dy
1 1 1
direct
0.167 0.667 0.333
0.167 0.000 0.000
0.667 0.333 0.667

***

2.
PBE Pm5NdEr6, optimized geometry; raw total energy = -4.641 eV per atom; symmetry = Immm
1.0
4.885 0.024 -1.427
-1.382 8.811 -4.586
0.111 -0.777 9.439
Er Pm Nd
6 5 1
direct
0.833 0.083 0.666
0.167 0.417 0.334
0.500 0.750 0.000
0.167 0.917 0.334
0.500 0.250 0.000
0.833 0.583 0.666
0.333 0.333 0.667
0.667 0.667 0.333
0.667 0.167 0.334
0.000 0.500 0.000
0.333 0.833 0.666
0.000 0.000 0.000

***

3.
PBE RbReH2, optimized geometry; distance to the lowest polymorph of the same formula = 25.00 kcal/mol of atoms; symmetry = Fm-3m
1.0
0.000 3.290 3.290
3.290 0.000 3.290
3.290 3.290 0.000
H Re Rb
2 1 1
direct
0.250 0.250 0.250
0.750 0.750 0.750
0.500 0.500 0.500
0.000 0.000 0.000

***

4.
PBE GeSbCl5, optimized geometry; distance to the lowest polymorph of the same formula = 1.09 kcal/mol of atoms; E_form (uncorrected) = -17.6 kcal/mol of atoms; symmetry = Imm2
1.0
5.645 0.000 0.000
0.000 8.730 0.000
-2.823 -4.365 5.093
Cl Sb Ge
5 1 1
direct
0.463 0.190 0.000
0.225 0.241 0.482
0.743 0.759 0.518
0.463 0.810 0.000
0.034 0.500 0.000
0.459 0.500 0.000
0.145 0.000 0.000

***

5.
PBE LaCoNi2, optimized geometry; raw total energy = -5.839 eV per atom; symmetry = Pm
1.0
-2.153 -3.495 0.123
3.452 -2.167 -1.129
1.786 -0.966 3.821
La Ni Co
1 2 1
direct
0.500 0.748 0.753
0.000 0.016 0.140
0.500 0.256 0.263
0.000 0.480 0.344

***

6.
PBE HfPaGa, optimized geometry; distance to the lowest polymorph of the same formula = 0.00 kcal/mol of atoms; symmetry = I4mm
1.0
3.096 0.000 0.000
0.000 3.096 0.000
-1.548 -1.548 6.694
Ga Pa Hf
1 1 1
direct
0.007 0.007 0.014
0.337 0.337 0.675
0.656 0.656 0.312

***

7.
PBE Ho6Bi3SbAs2, optimized geometry; E_form (uncorrected) = -25.1 kcal/mol of atoms; symmetry = C2/m
1.0
4.301 0.000 0.000
0.000 8.688 0.273
-2.150 -2.541 9.093
Ho Bi As Sb
6 3 2 1
direct
0.673 0.571 0.345
0.327 0.429 0.655
0.332 0.899 0.664
0.992 0.749 0.983
0.008 0.251 0.017
0.668 0.101 0.336
0.500 0.500 0.000
0.836 0.168 0.673
0.164 0.832 0.327
0.168 0.335 0.336
0.832 0.665 0.664
0.500 0.000 0.000

***

8.
PBE ErCd7Hg12, optimized geometry; raw total energy = -0.753 eV per atom; symmetry = R-3
1.0
1.139 2.386 8.918
7.283 -2.701 -3.441
5.689 6.254 0.834
Cd Hg Er
7 12 1
direct
0.684 0.549 0.353
0.316 0.451 0.647
0.963 0.647 0.902
0.500 0.000 0.000
0.135 0.098 0.549
0.865 0.902 0.451
0.037 0.353 0.098
0.914 0.300 0.804
0.614 0.897 0.300
0.431 0.748 0.768
0.199 0.768 0.484
0.801 0.232 0.516
0.086 0.700 0.196
0.683 0.484 0.748
0.317 0.516 0.252
0.569 0.252 0.232
0.386 0.103 0.700
0.283 0.196 0.103
0.717 0.804 0.897
0.000 0.000 0.000

***

9.
PBE ScTa2Ag, optimized geometry; distance to the lowest polymorph of the same formula = 5.07 kcal/mol of atoms; symmetry = Cmmm
1.0
5.499 0.014 0.000
-2.597 4.848 0.000
0.000 0.000 2.839
Ag Sc Ta
1 1 2
direct
0.500 0.000 0.500
0.000 0.500 0.500
0.000 0.000 0.000
0.500 0.500 0.000

***

10.
PBE Ho4InPbO, optimized geometry; E_form (uncorrected) = -26.2 kcal/mol of atoms; symmetry = Cmcm
1.0
6.474 0.000 0.000
0.000 6.458 0.000
-3.237 0.000 8.438
Ho In Pb O
8 2 2 2
direct
0.000 0.500 0.500
0.584 0.250 0.168
0.069 0.750 0.139
0.416 0.750 0.832
0.000 0.000 0.500
0.500 0.000 0.500
0.931 0.250 0.861
0.500 0.500 0.500
0.886 0.750 0.772
0.114 0.250 0.228
0.392 0.250 0.784
0.608 0.750 0.216
0.728 0.250 0.455
0.272 0.750 0.545

***

11.
PBE YGe3Ru3, optimized geometry; distance to the lowest polymorph of the same formula = 0.00 kcal/mol of atoms; symmetry = R-3
1.0
-3.769 1.904 -5.232
-5.443 -3.564 -1.696
-6.864 3.276 1.816
Ru Ge Y
6 6 2
direct
0.239 0.952 0.359
0.551 0.761 0.641
0.449 0.239 0.359
0.048 0.551 0.641
0.952 0.449 0.359
0.761 0.048 0.641
0.806 0.327 0.726
0.194 0.673 0.274
0.141 0.806 0.726
0.859 0.194 0.274
0.327 0.141 0.726
0.673 0.859 0.274
0.332 0.332 0.003
0.668 0.668 0.997

***

12.
PBE Pr6Nd5Er2, optimized geometry; raw total energy = -4.651 eV per atom; symmetry = Pbam
1.0
3.673 0.000 0.000
0.000 11.864 0.000
0.000 0.000 21.145
Er Nd Pr
4 10 12
direct
0.000 0.332 0.290
0.000 0.832 0.210
0.000 0.668 0.710
0.000 0.168 0.790
0.500 0.804 0.055
0.500 0.000 0.500
0.500 0.500 0.000
0.500 0.912 0.772
0.500 0.304 0.445
0.500 0.696 0.555
0.500 0.588 0.272
0.500 0.196 0.945
0.500 0.412 0.728
0.500 0.088 0.228
0.500 0.327 0.140
0.500 0.673 0.860
0.000 0.064 0.081
0.000 0.564 0.419
0.000 0.084 0.368
0.000 0.936 0.919
0.000 0.584 0.132
0.000 0.416 0.868
0.000 0.916 0.632
0.000 0.436 0.581
0.500 0.827 0.360
0.500 0.173 0.640

***

13.
PBE NdGa4Ni2Rh, optimized geometry; raw total energy = -5.008 eV per atom; symmetry = R-3m
1.0
-0.279 -4.123 -0.219
2.383 -2.097 -2.655
7.038 -2.836 5.332
Ga Ni Rh Nd
4 2 1 1
direct
0.597 0.597 0.210
0.403 0.403 0.790
0.129 0.129 0.612
0.871 0.871 0.388
0.771 0.771 0.687
0.229 0.229 0.313
0.500 0.500 0.500
0.000 0.000 0.000

***

14.
PBE SmErPdRu, optimized geometry; distance to the lowest polymorph of the same formula = 0.94 kcal/mol of atoms; symmetry = F-43m
1.0
4.909 0.000 0.000
2.454 4.251 0.000
2.454 1.417 4.008
Sm Er Ru Pd
1 1 1 1
direct
0.750 0.750 0.750
0.250 0.250 0.250
0.500 0.500 0.500
0.000 0.000 0.000

***

In Bohr magnetons per cell, the M_tot values for the records above are, in order, 0.00; 0.00; 4.73; 0.00; 1.70; 0.00; 0.00; 0.00; 0.00; 0.00; 0.00; 0.00; 0.00; 0.00.